(1)
Entry from Alexandria via LeMat-Bulk: an optimized crystal structure of NdDy2In2 (GGA-PBE).

Summary:
The calculation puts the distance to the lowest polymorph of the same formula at 224 meV/atom. The calculated total energy comes out at -4.0445 eV/atom. The calculation puts the formation energy at -0.15 eV/atom. As for the density of states at the Fermi level: 1.276 states/eV per atom.

Unit cell a=4.621 b=4.621 c=29.195 alpha=90.00 beta=90.00 gamma=90.00
Space group I4/mmm (No. 139)
Asymmetric unit:
Nd1 0.000 0.000 0.134 x4
Dy1 0.000 0.000 0.427 x4
Dy2 0.000 0.500 0.250 x4
In1 0.000 0.000 0.325 x4
In2 0.000 0.500 0.000 x4

=====

(2)
Entry from Alexandria via LeMat-Bulk: an optimized crystal structure of Nd2Dy3In4 (GGA-PBE).

Summary:
The calculation puts the distance to the lowest polymorph of the same formula at 101 meV/atom. The calculated total energy comes out at -4.1133 eV/atom. The calculation puts the formation energy at -0.30 eV/atom. As for the density of states at the Fermi level: 0.901 states/eV per atom.

Unit cell a=7.076 b=16.842 c=9.068 alpha=90.00 beta=90.00 gamma=90.00
Space group Cmce (No. 64)
Asymmetric unit:
Nd1 0.000 0.108 0.078 x8
Dy1 0.000 0.000 0.500 x4
Dy2 0.250 0.220 0.750 x8
In1 0.000 0.182 0.461 x8
In2 0.250 0.038 0.750 x8

=====

(3)
Entry from Alexandria via LeMat-Bulk: an optimized crystal structure of Nd3Dy3In (GGA-PBE).

Summary:
The calculation puts the distance to the lowest polymorph of the same formula at 89 meV/atom. The calculated total energy comes out at -4.4297 eV/atom. The calculation puts the formation energy at -0.02 eV/atom. As for the density of states at the Fermi level: 1.466 states/eV per atom.

Unit cell a=13.513 b=5.250 c=12.800 alpha=90.00 beta=90.00 gamma=90.00
Space group Pnma (No. 62)
Asymmetric unit:
Nd1 0.090 0.250 0.191 x4
Nd2 0.177 0.750 0.773 x4
Nd3 0.189 0.750 0.383 x4
Dy1 0.019 0.250 0.433 x4
Dy2 0.054 0.250 0.929 x4
Dy3 0.227 0.750 0.064 x4
In1 0.051 0.250 0.683 x4

=====

(4)
Entry from Alexandria via LeMat-Bulk: an optimized crystal structure of NdDy15In4 (GGA-PBE).

Summary:
The calculated total energy comes out at -4.4373 eV/atom. The calculation puts the formation energy at -0.20 eV/atom. As for the density of states at the Fermi level: 1.424 states/eV per atom.

Unit cell a=4.857 b=4.857 c=24.749 alpha=90.00 beta=90.00 gamma=90.00
Space group P4/mmm (No. 123)
Asymmetric unit:
Nd1 0.000 0.000 0.000 x1
Dy1 0.000 0.500 0.107 x4
Dy2 0.000 0.500 0.304 x4
Dy3 0.000 0.500 0.500 x2
Dy4 0.500 0.500 0.000 x1
Dy5 0.500 0.500 0.206 x2
Dy6 0.500 0.500 0.402 x2
In1 0.000 0.000 0.207 x2
In2 0.000 0.000 0.402 x2